Density functional theory data (GGA-PBE) for an optimized crystal structure of YScSi2W.

The structure in extended XYZ format:
```
5
Lattice="4.852 0.000 0.000 0.000 4.852 0.000 0.000 0.000 4.738" Properties=species:S:1:pos:R:3 pbc="T T T"
Y 0.000 0.000 0.000
Sc 2.426 2.426 2.369
Si 0.000 2.426 2.369
Si 2.426 0.000 2.369
W 2.426 2.426 0.000
```

- energy relative to the elements, uncorrected (eV/f.u.) = 4.55

Density functional theory data (GGA-PBE) for an optimized crystal structure of Ag2AsPS4.

The structure in extended XYZ format:
```
8
Lattice="5.743 0.000 0.000 -0.098 5.845 0.000 -0.740 -0.724 6.031" Properties=species:S:1:pos:R:3 pbc="T T T"
Ag 0.000 0.000 0.000
Ag -0.366 5.271 2.996
As 1.375 2.617 5.117
P 2.960 1.535 2.084
S 1.238 2.045 0.829
S 1.794 0.731 3.732
S 3.484 5.522 1.355
S 5.080 3.200 4.444
```

- energy relative to the elements, uncorrected (eV/f.u.) = -0.81

Density functional theory data (GGA-PBE) for an optimized crystal structure of Tc2AgSb.

The structure in extended XYZ format:
```
4
Lattice="1.478 0.853 9.500 -1.478 0.853 9.500 0.000 -1.707 9.500" Properties=species:S:1:pos:R:3 pbc="T T T"
Tc 0.000 0.000 0.000
Tc 0.000 0.000 7.521
Ag 0.000 0.000 21.402
Sb 0.000 0.000 14.716
```

- energy relative to the elements, uncorrected (eV/f.u.) = 1.47

Density functional theory data (GGA-PBE) for an optimized crystal structure of Tb4ErAl4.

The structure in extended XYZ format:
```
18
Lattice="8.797 0.000 0.000 0.000 8.797 0.000 0.000 0.000 5.837" Properties=species:S:1:pos:R:3 pbc="T T T"
Tb 0.723 7.247 0.763
Tb 1.550 5.122 3.681
Tb 2.849 8.074 3.681
Tb 3.675 5.948 0.763
Tb 5.122 2.849 5.074
Tb 5.948 0.723 2.156
Tb 7.247 3.675 2.156
Tb 8.074 1.550 5.074
Er 2.199 2.199 4.378
Er 6.598 6.598 1.459
Al 0.501 1.366 2.056
Al 1.366 3.898 0.863
Al 3.032 0.501 0.863
Al 3.898 3.032 2.056
Al 4.899 5.765 3.781
Al 5.765 8.296 4.974
Al 7.431 4.899 4.974
Al 8.296 7.431 3.781
```

- energy of formation (eV/atom) = -0.16

Density functional theory data (GGA-PBE) for an optimized crystal structure of Ac7Tl5.

The structure in extended XYZ format:
```
12
Lattice="6.448 -2.582 0.000 6.448 2.582 0.000 -5.084 0.000 14.273" Properties=species:S:1:pos:R:3 pbc="T T T"
Ac 0.000 0.000 0.000
Ac -0.564 0.000 7.697
Ac -1.160 0.000 11.744
Ac 2.575 0.000 10.252
Ac 5.236 0.000 4.021
Ac 8.972 0.000 2.529
Ac 8.375 0.000 6.576
Tl 1.078 0.000 4.325
Tl 4.110 0.000 0.786
Tl 3.906 0.000 7.137
Tl 3.702 0.000 13.488
Tl 6.734 0.000 9.948
```

- energy of formation (eV/atom) = -0.21
- energy relative to the lowest polymorph listed for this composition (meV/atom) = 30

Density functional theory data (GGA-PBE) for an optimized crystal structure of Th8Sb4AsP3.

The structure in extended XYZ format:
```
16
Lattice="4.301 2.483 7.205 -4.301 2.483 7.205 0.000 -4.966 7.205" Properties=species:S:1:pos:R:3 pbc="T T T"
Th -2.190 -1.265 12.378
Th 0.000 0.000 5.152
Th 0.000 -2.529 9.237
Th -2.190 1.265 9.237
Th 2.190 -1.265 12.378
Th 0.000 2.529 12.378
Th 0.000 0.000 16.463
Th 2.190 1.265 9.237
Sb 0.000 0.000 0.000
Sb -2.150 -1.242 7.205
Sb -2.150 1.242 14.410
Sb 0.000 2.483 7.205
As 0.000 0.000 10.807
P -4.301 0.000 10.807
P -2.150 1.242 3.602
P 2.150 1.242 3.602
```

- energy relative to the elements, uncorrected (eV/f.u.) = -19.44